Record 1
NbCuOs2 after structural relaxation, computed with PBE.

Cell lengths 3.8688, 3.8688, 17.7326 Å; angles 90.00, 90.00, 90.00 degrees
Closest atoms and distances in Å follow each position.
Space group I-42d (No. 122)
Inequivalent atoms, fractional coordinates:
Nb1 0.0000 0.0000 0.0000 x4  4 Os 2.70, 4 Cu 2.74
Cu1 0.0000 0.0000 0.5000 x4  4 Os 2.53, 4 Nb 2.74
Os1 0.1883 0.2500 0.6250 x8  2 Os 2.42, 2 Cu 2.53, 2 Nb 2.70

Output
The relative energy among the computed polymorphs is 508 meV/atom. As for the formation energy: 0.5564 eV/atom. The spin magnetization comes out at 0.00 μB per cell.

Record 2
Nb3CuOs after structural relaxation, computed with PBE.

Cell lengths 4.8418, 4.8418, 4.8418 Å; angles 90.00, 90.00, 90.00 degrees
Closest atoms and distances in Å follow each position.
Space group Pm-3m (No. 221)
Inequivalent atoms, fractional coordinates:
Nb1 0.0000 0.0000 0.5000 x3  2 Os 2.42
Cu1 0.5000 0.5000 0.5000 x1  12 Nb 3.42
Os1 0.0000 0.0000 0.0000 x1  6 Nb 2.42

Output
The relative energy among the computed polymorphs is 0 meV/atom. As for the formation energy: 1.2138 eV/atom. The spin magnetization comes out at 0.00 μB per cell.

Record 3
NbCu4Os after structural relaxation, computed with PBE.

Cell lengths 6.7795, 6.7795, 6.7795 Å; angles 90.00, 90.00, 90.00 degrees
Closest atoms and distances in Å follow each position.
Space group F-43m (No. 216)
Inequivalent atoms, fractional coordinates:
Nb1 0.0000 0.0000 0.0000 x4  12 Cu 2.81, 4 Os 2.94
Cu1 0.1246 0.1246 0.6246 x16  6 Cu 2.39-2.40
Os1 0.2500 0.2500 0.2500 x4  12 Cu 2.81, 4 Nb 2.94

Output
As for the formation energy: 0.0415 eV/atom. The spin magnetization comes out at 0.00 μB per cell.

Record 4
NbCuOs2 after structural relaxation, computed with PBE.

Cell lengths 3.9403, 3.9403, 3.7786 Å; angles 90.00, 90.00, 90.00 degrees
Closest atoms and distances in Å follow each position.
Space group P4/mmm (No. 123)
Inequivalent atoms, fractional coordinates:
Nb1 0.0000 0.0000 0.0000 x1  8 Os 2.73, 4 Cu 2.79
Cu1 0.5000 0.5000 0.0000 x1  8 Os 2.73, 4 Nb 2.79
Os1 0.0000 0.5000 0.5000 x2  4 Cu 2.73, 4 Nb 2.73, 4 Os 2.79

Output
The relative energy among the computed polymorphs is 0 meV/atom. As for the formation energy: 0.0486 eV/atom. The spin magnetization comes out at 0.00 μB per cell.

Record 5
NbCu3Os after structural relaxation, computed with PBE.

Cell lengths 4.5193, 4.5193, 4.5193 Å; angles 90.00, 90.00, 90.00 degrees
Closest atoms and distances in Å follow each position.
Space group Pm-3m (No. 221)
Inequivalent atoms, fractional coordinates:
Nb1 0.0000 0.0000 0.0000 x1  12 Cu 3.20
Cu1 0.0000 0.5000 0.5000 x3  2 Os 2.26
Os1 0.5000 0.5000 0.5000 x1  6 Cu 2.26

Output
The relative energy among the computed polymorphs is 0 meV/atom. As for the formation energy: 1.5259 eV/atom. The spin magnetization comes out at 0.59 μB per cell.

Record 6
Nb2CuOs after structural relaxation, computed with PBE.

Cell lengths 2.8362, 2.8362, 27.6522 Å; angles 90.00, 90.00, 120.00 degrees
Closest atoms and distances in Å follow each position.
Space group R-3m (No. 166, hexagonal axes)
Inequivalent atoms, fractional coordinates:
Nb1 0.0000 0.0000 0.2502 x6  3 Os 2.82, 3 Cu 2.83, 6 Nb 2.84
Cu1 0.0000 0.0000 0.5000 x3  6 Nb 2.83, 6 Cu 2.84
Os1 0.0000 0.0000 0.0000 x3  6 Nb 2.82, 6 Os 2.84

Output
As for the formation energy: 0.1892 eV/atom. The spin magnetization comes out at 0.00 μB per cell.

Record 7
Nb2CuOs after structural relaxation, computed with PBE.

Cell lengths 3.0630, 3.0630, 6.8018 Å; angles 90.00, 90.00, 90.00 degrees
Closest atoms and distances in Å follow each position.
Space group P4/mmm (No. 123)
Inequivalent atoms, fractional coordinates:
Nb1 0.0000 0.0000 0.2496 x2  4 Cu 2.75, 4 Os 2.76, 4 Nb 3.06
Cu1 0.5000 0.5000 0.0000 x1  8 Nb 2.75, 4 Cu 3.06
Os1 0.5000 0.5000 0.5000 x1  8 Nb 2.76, 4 Os 3.06

Output
As for the formation energy: -0.0086 eV/atom. The spin magnetization comes out at 0.00 μB per cell.

Record 8
NbCuOs2Pb after structural relaxation, computed with PBE.

Cell lengths 4.9037, 4.9037, 5.1049 Å; angles 90.00, 90.00, 90.00 degrees
Closest atoms and distances in Å follow each position.
Space group P4/mmm (No. 123)
Inequivalent atoms, fractional coordinates:
Nb1 0.0000 0.0000 0.0000 x1  2 Pb 2.55
Cu1 0.5000 0.5000 0.0000 x1  4 Nb 3.47, 8 Os 3.54
Os1 0.0000 0.5000 0.5000 x2  2 Pb 2.45
Pb1 0.0000 0.0000 0.5000 x1  4 Os 2.45, 2 Nb 2.55

Output
As for the formation energy: 2.9148 eV/atom. The spin magnetization comes out at 0.00 μB per cell.